A plane-wave DFT calculation with PBEsol was carried out for an optimized crystal structure of LiTlAs2Br. Values from VASP.

Summary:
total moment = 1.46 μB per formula unit
Fermi-level density of states = 3.16 states/eV/cell
VASP energy = -14.4 eV per cell

```
&SYSTEM
  ibrav = 0, nat = 5, ntyp = 4
/
ATOMIC_SPECIES
Tl 204.38 Tl.upf
As 74.92 As.upf
Br 79.90 Br.upf
Li 6.94 Li.upf
ATOMIC_POSITIONS angstrom
Tl 0.0000 0.0000 0.0000
As -1.0399 0.7966 -2.2773
As 1.7144 -1.5008 -1.3078
Br -1.9572 -2.3104 0.0856
Li -1.2828 -3.0146 -3.4995
CELL_PARAMETERS angstrom
-2.0798 1.5931 -4.5546
3.4288 -3.0017 -2.6157
-3.9145 -4.6207 0.1713
```